A plane-wave DFT calculation with SCAN was carried out for a crystal of SrZrOs2 relaxed with PBEsol.

Cell lengths 3.1822, 4.6277, 4.8930 Å; angles 90.00, 90.00, 90.00 degrees
Element x y z (fractional)
Sr  0.0000  0.0000  0.0000
Zr  0.5000  0.0000  0.5000
Os  0.0000  0.5000  0.5000
Os  0.5000  0.5000  0.0000

The volume comes out at 72 Å³/f.u. Its energy of formation from the pure elements is 0.803 eV per atom. The value obtained for the total energy is -193.52 eV/cell. Its symmetry is Pmmm (47). Its density of states at the Fermi level is 2.777 states/eV/cell. As for the total magnetization: 0.00 μB per atom.